(w)
Entry from Alexandria via LeMat-Bulk: crystalline Ag2Mo2O7 at its relaxed geometry (PBE with a Hubbard U).

Lattice parameters (Å, degrees): 6.064 6.064 5.494 99.83 99.83 100.90
Fractional coordinates of all 11 atoms:
Ag1 0.192 0.808 0.000
Ag2 0.808 0.192 0.000
Mo1 0.278 0.278 0.587
Mo2 0.722 0.722 0.413
O1 0.100 0.100 0.302
O2 0.115 0.425 0.770
O3 0.425 0.115 0.770
O4 0.500 0.500 0.500
O5 0.575 0.885 0.230
O6 0.885 0.575 0.230
O7 0.900 0.900 0.698

Properties
Its space-group type is C2/m, No. 12.

=====

(x)
Entry from Alexandria via LeMat-Bulk: crystalline Ag2Mo2O7 at its relaxed geometry (PBE with a Hubbard U).

Lattice parameters (Å, degrees): 6.149 7.712 7.892 116.12 100.81 94.24
Fractional coordinates of all 22 atoms:
Ag1 0.127 0.205 0.190
Ag2 0.331 0.993 0.798
Ag3 0.669 0.007 0.202
Ag4 0.873 0.795 0.810
Mo1 0.142 0.728 0.224
Mo2 0.331 0.504 0.799
Mo3 0.669 0.496 0.201
Mo4 0.858 0.272 0.776
O1 0.042 0.573 0.875
O2 0.163 0.247 0.792
O3 0.235 0.948 0.214
O4 0.240 0.784 0.468
O5 0.263 0.404 0.547
O6 0.397 0.589 0.136
O7 0.456 0.754 0.875
O8 0.544 0.246 0.125
O9 0.603 0.411 0.864
O10 0.737 0.596 0.453
O11 0.760 0.216 0.532
O12 0.765 0.052 0.786
O13 0.837 0.753 0.208
O14 0.958 0.427 0.125

Properties
Its space-group type is P-1, No. 2.

=====

Going by the computed energies, the most stable comes first: (x), (w).